A relaxed structure of CsNaCd2Bi2. Source: Alexandria via LeMat-Bulk, functional GGA-PBE.

## Properties
The density of states at the Fermi level comes out at 0.9 states/eV/cell. The formation energy is -301 meV per atom. The calculation puts the theoretical density at 6.2 g cm⁻³. For the calculated volume, the calculation gives 214 Å³/cell. For the magnetic moment, the calculation gives 0.0000 μB per atom.

Cell: 5.0531 5.0531 9.6696 Å, 90.00 90.00 120.00°
Atoms (fractional coordinates):
Cs 0.0000 0.0000 0.0000
Na 0.0000 0.0000 0.5000
Cd 0.3333 0.6667 0.3649
Cd 0.6667 0.3333 0.6351
Bi 0.3333 0.6667 0.7164
Bi 0.6667 0.3333 0.2836